Computed, not measured: an optimized crystal structure of PrB4Ru5 at the PBE-GGA level of DFT.

Properties
- magnetic moment (μB per formula unit) = 0.00
- calculated total energy (eV/atom) = -7.813
- symmetry = Pmmn (59)

The structure in CIF format:
```
data_PrB4Ru5
_cell_length_a 4.9476
_cell_length_b 6.1021
_cell_length_c 9.8334
_cell_angle_alpha 90.00
_cell_angle_beta 90.00
_cell_angle_gamma 90.00
_symmetry_space_group_name_H-M 'P 1'
_symmetry_Int_Tables_number 1
loop_
_symmetry_equiv_pos_as_xyz
'x,y,z'
loop_
_atom_site_label
_atom_site_type_symbol
_atom_site_fract_x
_atom_site_fract_y
_atom_site_fract_z
Ru1 Ru 0.2297 0.7330 0.2982
Ru2 Ru 0.4478 0.0000 0.5000
Ru3 Ru 0.7703 0.7670 0.7982
Ru4 Ru 0.2297 0.2670 0.7018
Ru5 Ru 0.7703 0.2330 0.2018
Ru6 Ru 0.7703 0.2330 0.7982
Ru7 Ru 0.5522 0.5000 0.0000
Ru8 Ru 0.2297 0.2670 0.2982
Ru9 Ru 0.2297 0.7330 0.7018
Ru10 Ru 0.7703 0.7670 0.2018
B1 B 0.4959 0.5000 0.7807
B2 B 0.8183 0.2491 0.0000
B3 B 0.5041 0.0000 0.7193
B4 B 0.5041 0.0000 0.2807
B5 B 0.1817 0.7491 0.5000
B6 B 0.8183 0.7509 0.0000
B7 B 0.4959 0.5000 0.2193
B8 B 0.1817 0.2509 0.5000
Pr1 Pr 0.7082 0.5000 0.5000
Pr2 Pr 0.2918 0.0000 0.0000
```